Entry 1:
Computed, not measured: CsAgBr2 after structural relaxation at the PBE-GGA level of DFT.

Cell and atoms, written as extended XYZ:
```
12
Lattice="5.753 0.000 0.000 -2.876 4.982 0.000 0.000 0.000 24.389" Properties=species:S:1:pos:R:3 pbc="T T T"
Cs 0.000 0.000 0.000
Cs 0.000 3.321 16.259
Cs 2.876 1.661 8.130
Ag 0.000 0.000 12.194
Ag 0.000 3.321 4.065
Ag 2.876 1.661 20.324
Br 0.000 0.000 9.722
Br 0.000 0.000 14.667
Br 0.000 3.321 1.592
Br 0.000 3.321 6.537
Br 2.876 1.661 17.851
Br 2.876 1.661 22.797
```

Values from the calculation:
total DFT energy (no corrections) = -33.68 eV/cell
raw formation energy = -1.044 eV/atom

---

Entry 2:
Computed, not measured: Na3GeSe3 after structural relaxation at the PBE-GGA level of DFT.

Cell and atoms, written as extended XYZ:
```
28
Lattice="8.439 0.000 0.000 0.000 12.054 0.000 -4.064 0.000 7.294" Properties=species:S:1:pos:R:3 pbc="T T T"
Na -0.055 1.953 0.174
Na -2.087 4.075 3.821
Na -0.159 0.704 3.764
Na 1.873 5.323 0.117
Na 3.038 8.798 1.640
Na 1.006 9.283 5.287
Na 3.369 2.771 2.007
Na 1.337 3.256 5.654
Na 2.502 6.731 7.177
Na 4.534 11.350 3.530
Na 6.462 7.980 3.473
Na 4.430 10.102 7.120
Ge -1.048 0.120 7.025
Ge 0.984 5.907 3.378
Ge 3.391 6.147 3.916
Ge 5.423 11.934 0.269
Se 0.431 7.464 1.659
Se -1.601 10.618 5.306
Se -1.384 2.386 6.330
Se 0.648 3.641 2.683
Se -0.206 6.408 5.375
Se 1.826 11.674 1.728
Se 2.549 0.380 5.566
Se 4.581 5.647 1.919
Se 3.727 8.413 4.611
Se 5.759 9.668 0.964
Se 5.976 1.436 1.988
Se 3.944 4.591 5.635
```

Values from the calculation:
total DFT energy (no corrections) = -100.55 eV/cell
raw formation energy = -0.873 eV/atom

---

Entry 3:
Computed, not measured: SrTiCr2 after structural relaxation at the PBE-GGA level of DFT.

Cell and atoms, written as extended XYZ:
```
16
Lattice="4.936 0.000 0.000 0.000 4.936 0.000 0.000 0.000 17.119" Properties=species:S:1:pos:R:3 pbc="T T T"
Sr 0.000 1.234 6.420
Sr 0.000 3.702 10.699
Sr 2.468 1.234 2.140
Sr 2.468 3.702 14.979
Ti 0.000 1.234 14.979
Ti 0.000 3.702 2.140
Ti 2.468 1.234 10.699
Ti 2.468 3.702 6.420
Cr 0.000 0.000 0.000
Cr 0.000 2.468 0.000
Cr 1.234 1.234 12.839
Cr 1.234 3.702 4.280
Cr 2.468 0.000 8.560
Cr 2.468 2.468 8.560
Cr 3.702 1.234 12.839
Cr 3.702 3.702 4.280
```

Values from the calculation:
total DFT energy (no corrections) = -96.64 eV/cell
E_form = 1.17 eV/atom

---

Entry 4:
Computed, not measured: Tc2PPtPb after structural relaxation at the PBE-GGA level of DFT.

Cell and atoms, written as extended XYZ:
```
5
Lattice="5.204 0.000 0.000 0.000 5.204 0.000 0.000 0.000 4.318" Properties=species:S:1:pos:R:3 pbc="T T T"
Tc 0.000 2.602 0.000
Tc 2.602 0.000 0.000
P 0.000 0.000 2.159
Pt 0.000 0.000 0.000
Pb 2.602 2.602 2.159
```

Values from the calculation:
total DFT energy (no corrections) = -29.97 eV/cell
E_form = 1.19 eV/atom